Compound: Na2SmErSe4
Source: Alexandria via LeMat-Bulk
Functional: PBE
Structure: relaxed

Properties
formation energy (no corrections) = -1696.4 meV/atom
D(E_F) = 0.000 states/eV per atom
calculated volume = 26.436 Å³/atom
total magnetic moment = 0.00 Bohr magnetons per cell
space-group type = P2/m (10)

a = 4.174 Å, b = 7.229 Å, c = 7.411 Å
α = 108.96°, β = 90.00°, γ = 90.00°
Positions (direct):
Na (0.000, 0.500, 0.500)
Na (0.500, 0.000, 0.500)
Er (0.000, 0.000, 0.000)
Se (0.500, 0.763, 0.771)
Se (0.000, 0.750, 0.232)
Se (0.500, 0.237, 0.229)
Se (0.000, 0.250, 0.768)
Sm (0.500, 0.500, 0.000)

---

Compound: Na4SmEr3Se8
Source: Alexandria via LeMat-Bulk
Functional: PBE
Structure: relaxed

Properties
formation energy (no corrections) = -1699.8 meV/atom
D(E_F) = 0.000 states/eV per atom
calculated volume = 26.048 Å³/atom
total magnetic moment = 0.00 Bohr magnetons per cell
space-group type = R-3m (166)

a = 8.286 Å, b = 8.489 Å, c = 8.286 Å
α = 119.24°, β = 120.00°, γ = 90.00°
Positions (direct):
Se (0.263, 0.270, 0.016)
Se (0.258, 0.273, 0.515)
Se (0.247, 0.730, 0.493)
Se (0.753, 0.270, 0.507)
Se (0.742, 0.727, 0.485)
Se (0.753, 0.270, 0.016)
Se (0.737, 0.730, 0.984)
Se (0.247, 0.730, 0.984)
Sm (0.000, 0.500, 0.000)
Er (0.000, 0.500, 0.500)
Er (0.500, 0.500, 0.000)
Er (0.500, 0.500, 0.500)
Na (0.500, 0.000, 0.000)
Na (0.000, 0.000, 0.000)
Na (0.000, 0.000, 0.500)
Na (0.500, 0.000, 0.500)

---

Compound: Na3Sm2ErSe6
Source: Alexandria via LeMat-Bulk
Functional: PBE
Structure: relaxed

Properties
formation energy (no corrections) = -1696.2 meV/atom
D(E_F) = 0.000 states/eV per atom
calculated volume = 26.681 Å³/atom
total magnetic moment = 0.00 Bohr magnetons per cell
space-group type = C2/m (12)

a = 7.261 Å, b = 7.261 Å, c = 7.420 Å
α = 99.39°, β = 99.39°, γ = 120.00°
Positions (direct):
Se (0.249, 0.249, 0.769)
Se (0.404, 0.077, 0.232)
Se (0.751, 0.751, 0.231)
Se (0.596, 0.923, 0.768)
Se (0.923, 0.596, 0.768)
Se (0.077, 0.404, 0.232)
Na (0.500, 0.500, 0.500)
Na (0.832, 0.168, 0.500)
Na (0.168, 0.832, 0.500)
Sm (0.334, 0.666, 0.000)
Sm (0.666, 0.334, 0.000)
Er (0.000, 0.000, 0.000)